[1]
First-principles (PBE) data for Sc8CdIr2 after structural relaxation, as listed in Alexandria via LeMat-Bulk.

DFT total energy: -6.793 eV/atom
Formation energy: -0.494 eV per atom
Symmetry: Imm2, No. 44

Unit cell a=4.8632 b=6.5469 c=8.4194 alpha=112.89 beta=106.79 gamma=90.00
With the nearest neighbours (Å) after each atom.
Sites, in units of the cell vectors:
Sc 0.9276 0.4338 0.4918  3 Ir 2.67-2.80
Sc 0.3047 0.3512 0.2460  3 Ir 2.83-2.99, 1 Cd 2.83, 3 Sc 3.04-3.07
Sc 0.9678 0.0144 0.5722  3 Ir 2.83-2.99, 1 Cd 2.83, 3 Sc 3.04-3.07
Sc 0.7499 0.9443 0.1361  1 Ir 2.65
Sc 0.1368 0.5478 0.9091  1 Cd 2.79, 2 Sc 3.03-3.04
Sc 0.3450 0.8512 0.3264  3 Ir 2.67-2.80
Sc 0.6366 0.2704 0.9091  2 Ir 2.77, 2 Sc 3.03-3.04
Sc 0.5228 0.7175 0.6820  1 Ir 2.65
Ir 0.4656 0.2769 0.5682  6 Sc 2.65-2.83
Ir 0.8067 0.6179 0.2501  6 Sc 2.65-2.83
Cd 0.1364 0.9746 0.9090  9 Sc 2.79-3.11

=====

[2]
First-principles (PBE) data for ZnHgAs2 after structural relaxation, as listed in Alexandria via LeMat-Bulk.

DFT total energy: -2.530 eV/atom
Formation energy: 0.188 eV per atom
Symmetry: I-42d, No. 122
Excess energy over the best structure of this formula in the dataset: 110 meV per atom

Unit cell a=5.9304 b=5.9304 c=7.2032 alpha=65.69 beta=65.69 gamma=90.00
With the nearest neighbours (Å) after each atom.
Sites, in units of the cell vectors:
As 0.8750 0.8442 0.7500  2 Zn 2.46, 2 Hg 2.67
As 0.5942 0.1250 0.2500  2 Zn 2.46, 2 Hg 2.67
As 0.3750 0.4058 0.7500  2 Zn 2.46, 2 Hg 2.67
As 0.1558 0.6250 0.2500  2 Zn 2.46, 2 Hg 2.67
Zn 0.2500 0.7500 0.5000  4 As 2.46
Zn 0.5000 0.5000 0.0000  4 As 2.46
Hg 0.7500 0.2500 0.5000  4 As 2.67
Hg 0.0000 0.0000 0.0000  4 As 2.67

=====

[3]
First-principles (PBE) data for YPaTl2 after structural relaxation, as listed in Alexandria via LeMat-Bulk.

DFT total energy: -5.150 eV/atom
Formation energy: 0.024 eV per atom
Symmetry: P4/mmm, No. 123
Excess energy over the best structure of this formula in the dataset: 71 meV per atom

Unit cell a=4.4887 b=4.9326 c=4.9326 alpha=90.00 beta=90.00 gamma=90.00
With the nearest neighbours (Å) after each atom.
Sites, in units of the cell vectors:
Y 0.5000 0.0000 0.0000  8 Tl 3.33, 4 Pa 3.49
Tl 0.0000 0.0000 0.5000  4 Y 3.33, 4 Pa 3.33, 4 Tl 3.49
Tl 0.0000 0.5000 0.0000  4 Pa 3.33, 4 Y 3.33, 4 Tl 3.49
Pa 0.5000 0.5000 0.5000  8 Tl 3.33, 4 Y 3.49

=====

[4]
First-principles (PBE) data for BaZn2Pb2 after structural relaxation, as listed in Alexandria via LeMat-Bulk.

DFT total energy: -2.683 eV/atom
Formation energy: -0.305 eV per atom
Symmetry: I4/mmm, No. 139

Unit cell a=4.9072 b=4.9072 c=6.8206 alpha=68.92 beta=68.92 gamma=90.00
With the nearest neighbours (Å) after each atom.
Sites, in units of the cell vectors:
Pb 0.7500 0.2500 0.5000  4 Zn 2.98
Pb 0.2500 0.7500 0.5000  4 Zn 2.98
Zn 0.6067 0.6067 0.7866  1 Zn 2.51
Zn 0.3933 0.3933 0.2134  1 Zn 2.51
Ba 0.0000 0.0000 0.0000  8 Zn 3.69, 8 Pb 3.83

=====

[5]
First-principles (PBE) data for In2CoOs after structural relaxation, as listed in Alexandria via LeMat-Bulk.

DFT total energy: -5.559 eV/atom
Formation energy: 0.394 eV per atom
Symmetry: Imm2, No. 44

Unit cell a=5.8330 b=5.8330 c=5.8330 alpha=150.72 beta=134.67 gamma=54.88
With the nearest neighbours (Å) after each atom.
Sites, in units of the cell vectors:
In 0.7402 0.2402 0.5000  4 Co 2.70, 2 In 2.95
In 0.0326 0.0326 0.0000  4 Os 2.79, 2 Co 2.84, 4 In 2.95-3.11
Co 0.2672 0.7672 0.5000  2 Os 2.48, 4 In 2.70
Os 0.4600 0.4600 0.0000  2 Co 2.48

=====

[6]
First-principles (PBE) data for SmDyMgRh after structural relaxation, as listed in Alexandria via LeMat-Bulk.

DFT total energy: -4.939 eV/atom
Formation energy: -0.373 eV per atom
Symmetry: F-43m, No. 216

Unit cell a=5.1053 b=5.1053 c=5.1053 alpha=60.00 beta=60.00 gamma=60.00
With the nearest neighbours (Å) after each atom.
Sites, in units of the cell vectors:
Sm 0.7500 0.7500 0.7500  4 Mg 3.13, 4 Rh 3.13
Dy 0.2500 0.2500 0.2500  4 Rh 3.13, 4 Mg 3.13
Mg 0.0000 0.0000 0.0000  4 Sm 3.13, 4 Dy 3.13
Rh 0.5000 0.5000 0.5000  4 Dy 3.13, 4 Sm 3.13